Material: YTa3
Method: DFT, GGA-PBE
State: optimized geometry

Lattice parameters (Å, degrees): 3.059 3.059 30.773 90.00 90.00 120.00
Fractional positions:
1 Y 0.000 0.000 0.000
2 Y 0.333 0.667 0.667
3 Y 0.667 0.333 0.333
4 Ta 0.000 0.000 0.244
5 Ta 0.000 0.000 0.500
6 Ta 0.000 0.000 0.756
7 Ta 0.333 0.667 0.167
8 Ta 0.333 0.667 0.423
9 Ta 0.333 0.667 0.910
10 Ta 0.667 0.333 0.090
11 Ta 0.667 0.333 0.577
12 Ta 0.667 0.333 0.833

Computed properties:
formation enthalpy at 0 K = 0.445 eV per atom
offset from the most stable computed form = 200.8 meV per atom
E = -10.0603 eV/atom
crystal system = trigonal
V = 249 Å³ per cell
density of states at the Fermi level = 16.53 states/eV/cell



Material: Y2Ta
Method: DFT, GGA-PBE
State: optimized geometry

Lattice parameters (Å, degrees): 5.372 16.733 3.605 90.00 90.00 90.00
Fractional positions:
1 Y 0.000 0.084 0.250
2 Y 0.000 0.284 0.750
3 Y 0.000 0.716 0.250
4 Y 0.000 0.916 0.750
5 Y 0.500 0.216 0.250
6 Y 0.500 0.416 0.750
7 Y 0.500 0.584 0.250
8 Y 0.500 0.784 0.750
9 Ta 0.000 0.444 0.250
10 Ta 0.000 0.556 0.750
11 Ta 0.500 0.056 0.750
12 Ta 0.500 0.944 0.250

Computed properties:
formation enthalpy at 0 K = 0.239 eV per atom
offset from the most stable computed form = 32.2 meV per atom
E = -8.0217 eV/atom
crystal system = orthorhombic
V = 324 Å³ per cell
density of states at the Fermi level = 15.17 states/eV/cell